(1)
Here is a geometry-optimized Rb2VTe5 structure from the Alexandria database. Energies are from PBE.

```
Rb2VTe5
1.0
6.936 0.000 0.000
0.000 6.936 0.000
0.000 0.000 13.119
Rb V Te
4 2 10
Cartesian
0.000 3.468 0.000 Rb
0.000 3.468 6.559 Rb
3.468 0.000 0.000 Rb
3.468 0.000 6.559 Rb
0.000 0.000 4.212 V
3.468 3.468 10.772 V
0.000 0.000 6.701 Te
1.721 1.721 9.864 Te
1.721 5.215 9.864 Te
1.747 1.747 3.305 Te
1.747 5.189 3.305 Te
3.468 3.468 0.142 Te
5.189 1.747 3.305 Te
5.189 5.189 3.305 Te
5.215 1.721 9.864 Te
5.215 5.215 9.864 Te
```

Computed properties:
The symmetry is I4mm, No. 107. As for the formation energy (no corrections): -0.451 eV per atom.

(2)
Here is a geometry-optimized BiSeO4 structure from the Alexandria database. Energies are from PBE.

```
BiSeO4
1.0
-3.714 3.714 3.368
3.714 -3.714 3.368
3.714 3.714 -3.368
Bi Se O
2 2 8
Cartesian
3.714 1.857 0.842 Bi
0.000 1.857 2.526 Bi
3.714 -1.857 2.526 Se
0.000 5.572 0.842 Se
3.714 -0.509 1.340 O
3.714 3.206 -1.340 O
1.349 1.857 0.345 O
2.366 -1.857 3.713 O
1.349 5.572 -0.345 O
2.366 1.857 3.024 O
0.000 0.509 4.708 O
0.000 4.223 2.029 O
```

Computed properties:
The symmetry is I4_1/amd, No. 141. As for the formation energy (no corrections): -0.757 eV per atom. The calculation puts the energy relative to the lowest polymorph listed for this composition at 0 meV per atom.

(3)
Here is a geometry-optimized ScPd7Pt4 structure from the Alexandria database. Energies are from PBE.

```
ScPd7Pt4
1.0
4.980 -2.414 0.000
4.980 2.414 0.000
-4.862 0.000 8.459
Sc Pd Pt
1 7 4
Cartesian
0.000 0.000 0.000 Sc
-1.088 0.000 3.836 Pd
2.418 0.000 0.674 Pd
1.590 0.000 3.207 Pd
4.980 0.000 0.000 Pd
3.507 0.000 5.252 Pd
2.680 0.000 7.786 Pd
6.185 0.000 4.623 Pd
-1.848 0.000 6.509 Pt
0.775 0.000 5.824 Pt
4.322 0.000 2.635 Pt
6.945 0.000 1.950 Pt
```

Computed properties:
The formation energy from the elements comes out at -0.034 eV/atom. The symmetry is C2/m, No. 12.

(4)
Here is a geometry-optimized CuTc2Br structure from the Alexandria database. Energies are from PBE.

```
CuTc2Br
1.0
3.551 0.000 0.000
0.000 4.371 0.000
-0.840 0.000 5.000
Cu Tc Br
1 2 1
Cartesian
0.000 0.000 0.000 Cu
1.013 2.185 0.783 Tc
1.698 2.185 4.217 Tc
1.356 0.000 2.500 Br
```

Computed properties:
The symmetry is P2/m, No. 10. As for the formation energy (no corrections): 0.724 eV per atom. The calculation puts the energy relative to the lowest polymorph listed for this composition at 369 meV per atom.

(5)
Here is a geometry-optimized Pr3AlSe6 structure from the Alexandria database. Energies are from PBE.

```
Pr3AlSe6
1.0
5.803 -7.194 0.000
5.803 7.194 0.000
0.000 0.000 6.971
Pr Al Se
6 2 12
Cartesian
5.803 5.753 3.485 Pr
3.679 1.429 2.823 Pr
3.679 -1.429 6.308 Pr
7.926 1.429 2.823 Pr
7.926 -1.429 6.308 Pr
5.803 -5.753 0.000 Pr
5.803 2.868 6.026 Al
5.803 -2.868 2.540 Al
3.898 3.784 4.870 Se
1.879 0.419 4.898 Se
1.879 -0.419 1.412 Se
5.803 3.138 1.451 Se
7.707 3.784 4.870 Se
5.803 0.604 5.082 Se
5.803 -0.604 1.596 Se
3.898 -3.784 1.385 Se
5.803 -3.138 4.937 Se
9.726 0.419 4.898 Se
9.726 -0.419 1.412 Se
7.707 -3.784 1.385 Se
```

Computed properties:
The symmetry is Cmc2_1, No. 36. As for the formation energy (no corrections): -1.647 eV per atom.

(6)
Here is a geometry-optimized ReSe2Br structure from the Alexandria database. Energies are from PBE.

```
ReSe2Br
1.0
6.659 0.000 0.000
0.000 6.659 0.000
0.000 0.000 6.659
Re Se Br
4 8 4
Cartesian
0.000 0.000 0.000 Re
0.000 3.329 3.329 Re
3.329 0.000 3.329 Re
3.329 3.329 0.000 Re
1.665 1.665 1.665 Se
1.665 1.665 4.994 Se
1.665 4.994 1.665 Se
1.665 4.994 4.994 Se
4.994 1.665 1.665 Se
4.994 1.665 4.994 Se
4.994 4.994 1.665 Se
4.994 4.994 4.994 Se
0.000 0.000 3.329 Br
0.000 3.329 0.000 Br
3.329 0.000 0.000 Br
3.329 3.329 3.329 Br
```

Computed properties:
The symmetry is Fm-3m, No. 225. As for the formation energy (no corrections): 0.962 eV per atom. The calculation puts the energy relative to the lowest polymorph listed for this composition at 971 meV per atom.

(7)
Here is a geometry-optimized Nd5DyTl6 structure from the Alexandria database. Energies are from PBE.

```
Nd5DyTl6
1.0
4.750 -8.257 0.000
4.750 8.257 0.000
-3.178 0.000 4.491
Nd Dy Tl
5 1 6
Cartesian
0.000 0.000 0.000 Nd
3.161 5.534 2.246 Nd
4.750 2.822 0.000 Nd
4.750 -2.822 0.000 Nd
3.161 -5.534 2.246 Nd
3.161 0.000 2.246 Dy
1.614 2.703 1.148 Tl
0.057 0.000 3.413 Tl
1.614 -2.703 1.148 Tl
4.707 2.703 3.343 Tl
6.264 0.000 1.078 Tl
4.707 -2.703 3.343 Tl
```

Computed properties:
The formation energy from the elements comes out at -0.380 eV/atom. The symmetry is C2/m, No. 12.

(8)
Here is a geometry-optimized Pr2ZnSb4 structure from the Alexandria database. Energies are from PBE.

```
Pr2ZnSb4
1.0
4.428 0.000 0.000
0.000 4.428 0.000
0.000 0.000 10.101
Pr Zn Sb
2 1 4
Cartesian
0.000 2.214 2.518 Pr
2.214 0.000 7.583 Pr
2.214 2.214 0.000 Zn
0.000 0.000 5.051 Sb
0.000 2.214 8.559 Sb
2.214 0.000 1.542 Sb
2.214 2.214 5.051 Sb
```

Computed properties:
The symmetry is P-4m2, No. 115. As for the formation energy (no corrections): -0.734 eV per atom.

(9)
Here is a geometry-optimized LaOs2Rh structure from the Alexandria database. Energies are from PBE.

```
LaOs2Rh
1.0
2.970 0.000 0.000
0.000 4.697 0.000
0.000 0.000 5.094
La Os Rh
1 2 1
Cartesian
0.000 0.000 0.000 La
0.000 2.349 2.547 Os
1.485 0.000 2.547 Os
1.485 2.349 0.000 Rh
```

Computed properties:
The formation energy from the elements comes out at 0.403 eV/atom. The symmetry is Pmmm, No. 47. The calculation puts the energy relative to the lowest polymorph listed for this composition at 225 meV per atom.

(10)
Here is a geometry-optimized Tc2AgMo structure from the Alexandria database. Energies are from PBE.

```
Tc2AgMo
1.0
9.297 0.000 0.000
0.000 2.817 0.000
-0.967 0.000 4.775
Tc Ag Mo
4 2 2
Cartesian
2.024 0.000 1.104 Tc
1.657 1.408 3.671 Tc
6.673 1.408 1.104 Tc
6.306 0.000 3.671 Tc
-0.483 0.000 2.387 Ag
4.165 1.408 2.387 Ag
0.000 1.408 0.000 Mo
4.648 0.000 0.000 Mo
```

Computed properties:
The formation energy from the elements comes out at 0.429 eV/atom. The symmetry is C2/m, No. 12. The calculation puts the energy relative to the lowest polymorph listed for this composition at 159 meV per atom.

(11)
Here is a geometry-optimized ZrMnHg2 structure from the Alexandria database. Energies are from PBE.

```
ZrMnHg2
1.0
6.829 0.000 0.000
0.000 6.829 0.000
0.000 0.000 6.829
Zr Mn Hg
4 4 8
Cartesian
0.000 0.000 0.000 Zr
0.000 3.414 3.414 Zr
3.414 0.000 3.414 Zr
3.414 3.414 0.000 Zr
1.707 1.707 1.707 Mn
1.707 5.121 5.121 Mn
5.121 1.707 5.121 Mn
5.121 5.121 1.707 Mn
0.000 0.000 3.414 Hg
0.000 3.414 0.000 Hg
1.707 1.707 5.121 Hg
1.707 5.121 1.707 Hg
3.414 0.000 0.000 Hg
3.414 3.414 3.414 Hg
5.121 1.707 1.707 Hg
5.121 5.121 5.121 Hg
```

Computed properties:
The formation energy from the elements comes out at 0.244 eV/atom. The symmetry is F-43m, No. 216.

(12)
Here is a geometry-optimized La7Nd6 structure from the Alexandria database. Energies are from PBE.

```
La7Nd6
1.0
3.387 1.955 11.698
-3.387 1.955 11.698
0.000 -3.911 11.698
La Nd
7 6
Cartesian
0.000 0.000 0.000 La
0.000 -1.846 8.954 La
-1.598 0.923 8.954 La
-1.598 -0.923 26.142 La
1.598 0.923 8.954 La
1.598 -0.923 26.142 La
0.000 1.846 26.142 La
0.000 0.000 5.767 Nd
0.000 0.000 12.364 Nd
0.000 0.000 15.958 Nd
0.000 0.000 19.138 Nd
0.000 0.000 22.731 Nd
0.000 0.000 29.328 Nd
```

Computed properties:
The formation energy from the elements comes out at 0.176 eV/atom. The symmetry is R-3m, No. 166.